<one>
Here is HfSbTe2Se after structural relaxation from Alexandria via LeMat-Bulk. Energies are from PBE.

Lattice parameters (Å, degrees): 5.270 5.270 5.392 90.00 90.00 90.00
Space group P4/mmm (No. 123)
Asymmetric unit:
Hf: 0.000 0.000 0.000 (multiplicity 1)
Sb: 0.500 0.500 0.000 (multiplicity 1)
Te: 0.000 0.500 0.500 (multiplicity 2)
Se: 0.500 0.500 0.500 (multiplicity 1)

Results
* calculated volume: 29.948 A^3/atom

<two>
Here is HfSbTe2Se after structural relaxation from Alexandria via LeMat-Bulk. Energies are from PBE.

Lattice parameters (Å, degrees): 5.417 5.417 5.665 90.00 90.00 90.00
Space group P4/mmm (No. 123)
Asymmetric unit:
Hf: 0.000 0.000 0.000 (multiplicity 1)
Sb: 0.000 0.000 0.500 (multiplicity 1)
Te: 0.000 0.500 0.000 (multiplicity 2)
Se: 0.500 0.500 0.500 (multiplicity 1)

Results
* calculated volume: 33.240 A^3/atom

Here is how they stack up, most stable first: <two>, <one>.

<one>
Here is Hf2Si2Sb after structural relaxation from Alexandria via LeMat-Bulk. Energies are from PBE.

Lattice parameters (Å, degrees): 7.442 7.442 3.650 90.00 90.00 90.00
Space group P4/mbm (No. 127)
Asymmetric unit:
Hf: 0.168 0.332 0.000 (multiplicity 4)
Si: 0.118 0.618 0.500 (multiplicity 4)
Sb: 0.000 0.000 0.000 (multiplicity 2)

Results
* calculated volume: 20.217 A^3/atom

<two>
Here is Hf2Si2Sb after structural relaxation from Alexandria via LeMat-Bulk. Energies are from PBE.

Lattice parameters (Å, degrees): 7.176 7.176 3.649 90.00 90.00 90.00
Space group P4/mbm (No. 127)
Asymmetric unit:
Hf: 0.182 0.318 0.000 (multiplicity 4)
Si: 0.117 0.617 0.500 (multiplicity 4)
Sb: 0.000 0.000 0.500 (multiplicity 2)

Results
* calculated volume: 18.791 A^3/atom

Here is how they stack up, most stable first: <two>, <one>.

<one>
Here is Hf3SiSb after structural relaxation from Alexandria via LeMat-Bulk. Energies are from PBE.

Lattice parameters (Å, degrees): 4.892 4.892 4.892 90.00 90.00 90.00
Space group Pm-3m (No. 221)
Asymmetric unit:
Hf: 0.000 0.000 0.500 (multiplicity 3)
Si: 0.000 0.000 0.000 (multiplicity 1)
Sb: 0.500 0.500 0.500 (multiplicity 1)

Results
* calculated volume: 23.419 A^3/atom

<two>
Here is Hf3SiSb after structural relaxation from Alexandria via LeMat-Bulk. Energies are from PBE.

Lattice parameters (Å, degrees): 14.446 3.708 7.681 90.00 93.04 90.00
Space group C2/m (No. 12)
Asymmetric unit:
Hf: 0.042 0.000 0.227 (multiplicity 4)
Hf: 0.098 0.500 0.562 (multiplicity 4)
Hf: 0.243 0.000 0.798 (multiplicity 4)
Si: 0.205 0.000 0.427 (multiplicity 4)
Sb: 0.106 0.500 0.944 (multiplicity 4)

Results
* calculated volume: 20.544 A^3/atom

Here is how they stack up, most stable first: <two>, <one>.

<one>
Here is Hf2SiSb after structural relaxation from Alexandria via LeMat-Bulk. Energies are from PBE.

Lattice parameters (Å, degrees): 3.8868 3.8868 19.9771 90.00 90.00 120.00
Space group R-3m (No. 166, hexagonal axes)
Asymmetric unit:
Hf: 0.0000 0.0000 0.2380 (multiplicity 6)
Si: 0.0000 0.0000 0.5000 (multiplicity 3)
Sb: 0.0000 0.0000 0.0000 (multiplicity 3)

Results
* calculated volume: 21.780 A^3/atom

<two>
Here is Hf2SiSb after structural relaxation from Alexandria via LeMat-Bulk. Energies are from PBE.

Lattice parameters (Å, degrees): 6.207 6.207 12.655 90.00 90.00 90.00
Space group I-42d (No. 122)
Asymmetric unit:
Hf: 0.213 0.250 0.125 (multiplicity 8)
Si: 0.000 0.000 0.000 (multiplicity 4)
Sb: 0.000 0.000 0.500 (multiplicity 4)

Results
* calculated volume: 30.471 A^3/atom

Here is how they stack up, most stable first: <one>, <two>.

<one>
Here is HfSi2TcSb after structural relaxation from Alexandria via LeMat-Bulk. Energies are from PBE.

Lattice parameters (Å, degrees): 4.594 4.594 5.181 90.00 90.00 90.00
Space group P4/mmm (No. 123)
Asymmetric unit:
Hf: 0.000 0.000 0.000 (multiplicity 1)
Si: 0.000 0.500 0.500 (multiplicity 2)
Tc: 0.000 0.000 0.500 (multiplicity 1)
Sb: 0.500 0.500 0.000 (multiplicity 1)

Results
* calculated volume: 21.864 A^3/atom

<two>
Here is HfSi2TcSb after structural relaxation from Alexandria via LeMat-Bulk. Energies are from PBE.

Lattice parameters (Å, degrees): 4.498 4.498 5.518 90.00 90.00 90.00
Space group P4/mmm (No. 123)
Asymmetric unit:
Hf: 0.000 0.000 0.000 (multiplicity 1)
Si: 0.000 0.500 0.500 (multiplicity 2)
Tc: 0.500 0.500 0.500 (multiplicity 1)
Sb: 0.500 0.500 0.000 (multiplicity 1)

Results
* calculated volume: 22.330 A^3/atom

Here is how they stack up, most stable first: <one>, <two>.

<one>
Here is SmHfSb2 after structural relaxation from Alexandria via LeMat-Bulk. Energies are from PBE.

Lattice parameters (Å, degrees): 3.8027 3.8027 30.1987 90.00 90.00 120.00
Space group R-3m (No. 166, hexagonal axes)
Asymmetric unit:
Sm: 0.0000 0.0000 0.0000 (multiplicity 3)
Hf: 0.0000 0.0000 0.5000 (multiplicity 3)
Sb: 0.0000 0.0000 0.1034 (multiplicity 6)

Results
* calculated volume: 31.516 A^3/atom

<two>
Here is SmHfSb2 after structural relaxation from Alexandria via LeMat-Bulk. Energies are from PBE.

Lattice parameters (Å, degrees): 4.2077 4.2077 21.9078 90.00 90.00 120.00
Space group R3m (No. 160, hexagonal axes)
Asymmetric unit:
Sm: 0.0000 0.0000 0.0000 (multiplicity 3)
Hf: 0.0000 0.0000 0.8275 (multiplicity 3)
Sb: 0.0000 0.0000 0.2388 (multiplicity 3)
Sb: 0.0000 0.0000 0.4230 (multiplicity 3)

Results
* calculated volume: 27.993 A^3/atom

Here is how they stack up, most stable first: <two>, <one>.